The following is a DFT calculation (GGA-PBE) of an optimized crystal structure of Nd2Ho3Th3.

calculated total energy	-5.525	eV per atom
size of the total moment	0.00	μB per cell
formation enthalpy at 0 K	0.166	eV/atom

abc: 9.1079 9.1079 3.6524
angles: 90.00 90.00 120.00
Space group P-62m (No. 189)
One atom of each set of equivalent atoms:
Nd  0.3333  0.6667  0.0000 [2 per cell]
Ho  0.0000  0.6058  0.5000 [3 per cell]
Th  0.0000  0.2253  0.0000 [3 per cell]